The following is a PBE calculation of NaGa3Ir after structural relaxation, from Alexandria.

```
NaGa3Ir
1.0
4.857 0.000 0.000
0.000 4.857 0.000
0.000 0.000 4.857
Na Ga Ir
1 3 1
Cartesian
0.000 0.000 0.000
0.000 2.428 2.428
2.428 0.000 2.428
2.428 2.428 0.000
2.428 2.428 2.428
```

Values from the calculation:
For the calculated total energy, the calculation gives -4.09 eV/atom. As for the magnetic moment: 0.0 μB per formula unit. The value obtained for the energy relative to the elements is -113 kJ/mol of formula units.